# SrTlSi4 meta-GGA SCAN single point on PBEsol structure
# E, eV per cell: -533.8
# Density, g/cm3: 5.83
# DOS(E_F), states/eV per cell: 9.06
# Raw formation energy, meV per atom: 206
data_SrTlSi4
_cell_length_a 7.722
_cell_length_b 7.722
_cell_length_c 7.722
_cell_angle_alpha 90.00
_cell_angle_beta 90.00
_cell_angle_gamma 90.00
_space_group_name_H-M_alt 'F -4 3 m'
_space_group_IT_number 216
_space_group_name_Hall 'F -4 2 3'
loop_
_atom_site_label
_atom_site_type_symbol
_atom_site_fract_x
_atom_site_fract_y
_atom_site_fract_z
Sr1 Sr 0.000 0.000 0.000
Tl1 Tl 0.250 0.250 0.250
Si1 Si 0.126 0.126 0.626